Entry 1:
The following is a PBE calculation of an optimized crystal structure of KBiN2O, from Alexandria via LeMat-Bulk.

Total magnetic moment   2.46 Bohr magnetons per cell
Formation energy without anion corrections   65.97 kJ per mole of atoms
Final energy   -4.63 eV/atom

a b c (Å): 4.5100 4.5100 4.3934
angles (deg): 90.00 90.00 90.00
Positions (direct):
K (0.0000, 0.0000, 0.0000)
Bi (0.5000, 0.5000, 0.5000)
N (0.0000, 0.5000, 0.5000)
N (0.5000, 0.0000, 0.5000)
O (0.5000, 0.5000, 0.0000)

***

Entry 2:
The following is a PBE calculation of an optimized crystal structure of MoW2Br, from Alexandria via LeMat-Bulk.

Total magnetic moment   0.00 Bohr magnetons per cell
Formation energy without anion corrections   59.41 kJ per mole of atoms
Final energy   -8.99 eV/atom
Energy above the lowest structure with this stoichiometry   83 meV/atom

a b c (Å): 3.0988 3.0988 7.1370
angles (deg): 90.00 90.00 90.00
Positions (direct):
Mo (0.0000, 0.0000, 0.0000)
W (0.0000, 0.0000, 0.4501)
W (0.5000, 0.5000, 0.2238)
Br (0.5000, 0.5000, 0.7278)

***

Entry 3:
The following is a PBE calculation of an optimized crystal structure of K2Nd2IrO7, from Alexandria via LeMat-Bulk.

Total magnetic moment   6.02 Bohr magnetons per cell
Formation energy without anion corrections   -199.03 kJ per mole of atoms
Final energy   -6.67 eV/atom

a b c (Å): 13.1886 13.1886 13.1886
angles (deg): 25.25 25.25 25.25
Positions (direct):
K (0.0872, 0.0872, 0.0872)
K (0.4128, 0.4128, 0.4128)
K (0.5872, 0.5872, 0.5872)
K (0.9128, 0.9128, 0.9128)
Nd (0.1908, 0.1908, 0.1908)
Nd (0.3092, 0.3092, 0.3092)
Nd (0.6908, 0.6908, 0.6908)
Nd (0.8092, 0.8092, 0.8092)
Ir (0.0000, 0.0000, 0.0000)
Ir (0.5000, 0.5000, 0.5000)
O (0.1020, 0.7090, 0.2708)
O (0.2090, 0.6020, 0.7708)
O (0.2292, 0.7910, 0.3980)
O (0.2500, 0.2500, 0.2500)
O (0.2708, 0.1020, 0.7090)
O (0.2910, 0.7292, 0.8980)
O (0.3980, 0.2292, 0.7910)
O (0.6020, 0.7708, 0.2090)
O (0.7090, 0.2708, 0.1020)
O (0.7292, 0.8980, 0.2910)
O (0.7500, 0.7500, 0.7500)
O (0.7708, 0.2090, 0.6020)
O (0.7910, 0.3980, 0.2292)
O (0.8980, 0.2910, 0.7292)

***

Entry 4:
The following is a PBE calculation of an optimized crystal structure of Tb2Zn3Si, from Alexandria via LeMat-Bulk.

Total magnetic moment   0.00 Bohr magnetons per cell
Formation energy without anion corrections   -46.86 kJ per mole of atoms
Final energy   -3.57 eV/atom
Energy above the lowest structure with this stoichiometry   23 meV/atom

a b c (Å): 3.8749 4.2235 7.4795
angles (deg): 90.00 90.00 90.00
Positions (direct):
Tb (0.0000, 0.0000, 0.0000)
Tb (0.0000, 0.5000, 0.4681)
Zn (0.5000, 0.0000, 0.6483)
Zn (0.5000, 0.5000, 0.1496)
Zn (0.5000, 0.5000, 0.8156)
Si (0.5000, 0.0000, 0.3197)

***

Entry 5:
The following is a PBE calculation of an optimized crystal structure of Dy2Tm5Th4, from Alexandria via LeMat-Bulk.

Total magnetic moment   0.00 Bohr magnetons per cell
Final energy   -5.26 eV/atom
Energy above the lowest structure with this stoichiometry   279 meV/atom
Energy of formation   304 meV/atom

a b c (Å): 12.4719 12.4719 12.4719
angles (deg): 163.97 136.52 46.62
Positions (direct):
Dy (0.2297, 0.2297, 0.0000)
Dy (0.7703, 0.7703, 0.0000)
Tm (0.1498, 0.3515, 0.7983)
Tm (0.4469, 0.6485, 0.7983)
Tm (0.5000, 0.0000, 0.5000)
Tm (0.5531, 0.3515, 0.2017)
Tm (0.8502, 0.6485, 0.2017)
Th (0.0938, 0.0938, 0.0000)
Th (0.2038, 0.5000, 0.7038)
Th (0.7962, 0.5000, 0.2962)
Th (0.9062, 0.9062, 0.0000)

***

Entry 6:
The following is a PBE calculation of an optimized crystal structure of Sm4Y7Er, from Alexandria via LeMat-Bulk.

Total magnetic moment   0.00 Bohr magnetons per cell
Final energy   -5.64 eV/atom
Energy above the lowest structure with this stoichiometry   0 meV/atom
Energy of formation   86 meV/atom

a b c (Å): 6.5619 6.8464 9.1294
angles (deg): 85.58 77.01 81.87
Positions (direct):
Sm (0.1419, 0.3141, 0.2826)
Sm (0.3383, 0.8800, 0.6944)
Sm (0.6617, 0.1200, 0.3056)
Sm (0.8581, 0.6859, 0.7174)
Y (0.0102, 0.2525, 0.9509)
Y (0.1795, 0.8065, 0.3611)
Y (0.3125, 0.3917, 0.6170)
Y (0.5000, 0.0000, 0.0000)
Y (0.6875, 0.6083, 0.3830)
Y (0.8205, 0.1935, 0.6389)
Y (0.9898, 0.7475, 0.0491)
Er (0.5000, 0.5000, 0.0000)

***

Entry 7:
The following is a PBE calculation of an optimized crystal structure of PuZrPdAu, from Alexandria via LeMat-Bulk.

Total magnetic moment   6.15 Bohr magnetons per cell
Final energy   -8.19 eV/atom
Energy of formation   -354 meV/atom

a b c (Å): 4.9432 4.9432 4.9432
angles (deg): 60.00 60.00 60.00
Positions (direct):
Pu (0.0000, 0.0000, 0.0000)
Zr (0.5000, 0.5000, 0.5000)
Pd (0.7500, 0.7500, 0.7500)
Au (0.2500, 0.2500, 0.2500)

***

Entry 8:
The following is a PBE calculation of an optimized crystal structure of TlAuIN2, from Alexandria via LeMat-Bulk.

Total magnetic moment   3.53 Bohr magnetons per cell
Formation energy without anion corrections   142.22 kJ per mole of atoms
Final energy   -3.29 eV/atom
Energy above the lowest structure with this stoichiometry   0 meV/atom

a b c (Å): 4.3383 4.3383 7.6480
angles (deg): 90.00 90.00 90.00
Positions (direct):
Tl (0.0000, 0.0000, 0.0000)
Au (0.5000, 0.5000, 0.5000)
I (0.5000, 0.5000, 0.0000)
N (0.0000, 0.5000, 0.5000)
N (0.5000, 0.0000, 0.5000)